Record 1
AcTb4Tm2 | the Alexandria database | PBE | relaxed; D(E_F) = 21.68 states/eV/cell; theoretical density = 8.6 g/cm³; formation energy = 0.5 eV/f.u.; space group = No. 1
1.0
6.864 0.764 -1.836
-3.523 7.554 -3.085
0.500 -0.420 8.651
Tb Tm Ac
8 4 2
direct
0.568 0.276 0.566
0.450 0.416 0.968
0.971 0.685 0.795
0.669 0.145 0.121
0.474 0.690 0.800
0.764 0.978 0.674
0.275 0.994 0.683
0.858 0.818 0.230
0.061 0.271 0.569
0.369 0.815 0.230
0.946 0.410 0.958
0.588 0.555 0.391
0.088 0.560 0.393
0.170 0.136 0.122

***

Record 2
AcTb2Tm | the Alexandria database | PBE | relaxed; D(E_F) = 6.73 states/eV/cell; energy above the lowest structure with this stoichiometry = 0.0 meV/atom; theoretical density = 8.6 g/cm³; formation energy = 0.2 eV/f.u.; space group = No. 123
1.0
5.213 0.000 0.000
0.000 5.131 0.000
0.000 0.000 5.131
Tb Ac Tm
2 1 1
direct
0.000 0.000 0.500
0.000 0.500 0.000
0.500 0.000 0.000
0.500 0.500 0.500

***

Record 3
AcTbTm2 | the Alexandria database | PBE | relaxed; D(E_F) = 5.76 states/eV/cell; energy above the lowest structure with this stoichiometry = 45.6 meV/atom; theoretical density = 8.8 g/cm³; formation energy = 0.5 eV/f.u.; space group = No. 225
1.0
-4.400 3.756 0.058
-4.208 -0.535 3.935
-0.456 3.855 4.290
Ac Tb Tm
1 1 2
direct
0.500 0.500 0.500
0.000 0.000 0.000
0.250 0.250 0.250
0.750 0.750 0.750